VASP calculation (GGA-PBE) on a relaxed structure of HIrPt2.

The structure in extended XYZ format:
```
8
Lattice="-4.292 -2.769 3.311 3.665 0.126 4.857 -1.339 1.120 4.795" Properties=species:S:1:pos:R:3 pbc="T T T"
Pt 0.993 -0.262 4.977
Pt -1.916 -1.485 10.260
Ir -2.972 -1.485 6.095
H -0.313 -1.321 4.084
Pt -2.133 -1.160 3.546
H 1.007 -0.038 6.868
Pt -0.875 -0.139 7.141
Ir 0.000 0.000 0.000
```

Properties
Density of states at the Fermi level   4.47 states/eV/cell
ρ   19.08 Mg/m³
E_tot   -5.766 eV per atom
Volume   12.69 Å³ per atom
Distance to the lowest polymorph of the same formula   0 meV/atom

=====

VASP calculation (GGA-PBE) on a relaxed structure of TcSe2S.

The structure in extended XYZ format:
```
4
Lattice="2.870 -2.594 7.033 3.728 -5.245 4.798 5.808 -2.349 5.017" Properties=species:S:1:pos:R:3 pbc="T T T"
Se 1.272 -1.044 1.727
Se 11.135 -9.144 15.122
Tc 6.203 -5.094 8.424
S 0.000 0.000 0.000
```

Properties
Density of states at the Fermi level   2.20 states/eV/cell
ρ   5.58 Mg/m³
E_tot   -5.195 eV per atom
Volume   21.43 Å³ per atom
Formation energy from raw total energies   0.171 eV/atom

=====

VASP calculation (GGA-PBE) on a relaxed structure of RbCuB2H8.

The structure in extended XYZ format:
```
12
Lattice="4.663 0.000 0.000 2.331 4.038 0.000 2.331 1.346 6.669" Properties=species:S:1:pos:R:3 pbc="T T T"
H 3.371 0.792 1.054
B 6.994 4.038 5.204
H 7.034 2.860 5.616
H 2.331 1.346 2.688
H 1.331 0.723 1.054
Rb 4.663 2.692 3.335
H 2.291 2.524 1.054
H 7.994 4.661 5.616
B 2.331 1.346 1.465
Cu 0.000 0.000 0.000
H 6.994 4.038 3.982
H 5.954 4.592 5.616
```

Properties
Density of states at the Fermi level   0.00 states/eV/cell
ρ   2.36 Mg/m³
E_tot   -3.904 eV per atom
Volume   10.46 Å³ per atom

=====

VASP calculation (GGA-PBE) on a relaxed structure of Li2TmGaGe2.

The structure in extended XYZ format:
```
12
Lattice="-1.730 2.908 -2.299 -1.131 -4.683 -5.071 -7.141 -1.727 3.188" Properties=species:S:1:pos:R:3 pbc="T T T"
Ge -6.409 -2.642 1.480
Ge -6.243 -3.233 -3.031
Tm -4.569 -3.231 -0.649
Ge -1.858 -3.746 -3.339
Li -6.900 -5.469 -1.725
Ga -5.970 -0.426 0.314
Tm -4.229 -5.354 -3.589
Ga -3.797 -2.105 -3.444
Li -8.050 -2.663 -0.951
Li -1.476 1.131 -1.097
Ge -3.800 -0.438 -1.334
Li -1.625 -1.988 -1.292
```

Properties
Density of states at the Fermi level   1.34 states/eV/cell
ρ   5.77 Mg/m³
E_tot   -3.932 eV per atom
Volume   19.10 Å³ per atom